Model 1:
{
  "formula": "KBa2CdRh",
  "functional": "PBE",
  "state": "optimized geometry",
  "lattice_angstrom": [[5.902, 0.000, 0.000], [0.000, 5.902, 0.000], [0.000, 0.000, 6.234]],
  "species": ["K", "Ba", "Ba", "Cd", "Rh"],
  "fractional_positions": [[0.000, 0.000, 0.000], [0.000, 0.500, 0.500], [0.500, 0.000, 0.500], [0.500, 0.500, 0.000], [0.000, 0.000, 0.500]],
  "space_group": "No. 123"
}



Model 2:
{
  "formula": "KBa2CdRh",
  "functional": "PBE",
  "state": "optimized geometry",
  "lattice_angstrom": [[6.043, 0.000, 0.000], [0.000, 6.043, 0.000], [0.000, 0.000, 5.588]],
  "species": ["K", "Ba", "Ba", "Cd", "Rh"],
  "fractional_positions": [[0.000, 0.000, 0.000], [0.000, 0.500, 0.500], [0.500, 0.000, 0.500], [0.500, 0.500, 0.000], [0.500, 0.500, 0.500]],
  "space_group": "No. 123"
}



Which is the most stable structure? model 2 is the most stable.



Model 1:
{
  "formula": "KBa2SrCd",
  "functional": "PBE",
  "state": "optimized geometry",
  "lattice_angstrom": [[6.803, 0.000, 0.000], [0.000, 6.803, 0.000], [0.000, 0.000, 6.634]],
  "species": ["K", "Ba", "Ba", "Sr", "Cd"],
  "fractional_positions": [[0.000, 0.000, 0.000], [0.000, 0.500, 0.500], [0.500, 0.000, 0.500], [0.500, 0.500, 0.000], [0.500, 0.500, 0.500]],
  "space_group": "No. 123"
}



Model 2:
{
  "formula": "KBa2SrCd",
  "functional": "PBE",
  "state": "optimized geometry",
  "lattice_angstrom": [[6.780, 0.000, 0.000], [0.000, 6.780, 0.000], [0.000, 0.000, 6.682]],
  "species": ["K", "Ba", "Ba", "Sr", "Cd"],
  "fractional_positions": [[0.000, 0.000, 0.000], [0.000, 0.500, 0.500], [0.500, 0.000, 0.500], [0.500, 0.500, 0.000], [0.000, 0.000, 0.500]],
  "space_group": "No. 123"
}



Which is the most stable structure? model 1 is the most stable.



Model 1:
{
  "formula": "BaLaCd",
  "functional": "PBE",
  "state": "optimized geometry",
  "lattice_angstrom": [[0.000, 4.013, 4.013], [4.013, 0.000, 4.013], [4.013, 4.013, 0.000]],
  "species": ["Ba", "La", "Cd"],
  "fractional_positions": [[0.000, 0.000, 0.000], [0.500, 0.500, 0.500], [0.750, 0.750, 0.750]],
  "space_group": "No. 216"
}



Model 2:
{
  "formula": "BaLaCd",
  "functional": "PBE",
  "state": "optimized geometry",
  "lattice_angstrom": [[-2.040, 2.040, 7.152], [2.040, -2.040, 7.152], [2.040, 2.040, -7.152]],
  "species": ["Ba", "La", "Cd"],
  "fractional_positions": [[0.000, 0.000, 0.000], [0.723, 0.723, 0.000], [0.338, 0.338, 0.000]],
  "space_group": "No. 107"
}



Which is the most stable structure? model 2 is the most stable.



Model 1:
{
  "formula": "Ba2LaCd2",
  "functional": "PBE",
  "state": "optimized geometry",
  "lattice_angstrom": [[9.788, 0.000, 0.000], [0.000, 9.788, 0.000], [0.000, 0.000, 3.922]],
  "species": ["Ba", "Ba", "Ba", "Ba", "La", "La", "Cd", "Cd", "Cd", "Cd"],
  "fractional_positions": [[0.137, 0.363, 0.000], [0.363, 0.863, 0.000], [0.637, 0.137, 0.000], [0.863, 0.637, 0.000], [0.000, 0.000, 0.000], [0.500, 0.500, 0.000], [0.162, 0.662, 0.500], [0.338, 0.162, 0.500], [0.662, 0.838, 0.500], [0.838, 0.338, 0.500]],
  "space_group": "No. 127"
}



Model 2:
{
  "formula": "Ba2LaCd2",
  "functional": "PBE",
  "state": "optimized geometry",
  "lattice_angstrom": [[9.325, 0.000, 0.000], [0.000, 9.325, 0.000], [0.000, 0.000, 4.614]],
  "species": ["Ba", "Ba", "Ba", "Ba", "La", "La", "Cd", "Cd", "Cd", "Cd"],
  "fractional_positions": [[0.164, 0.336, 0.000], [0.336, 0.836, 0.000], [0.664, 0.164, 0.000], [0.836, 0.664, 0.000], [0.000, 0.000, 0.500], [0.500, 0.500, 0.500], [0.132, 0.632, 0.500], [0.368, 0.132, 0.500], [0.632, 0.868, 0.500], [0.868, 0.368, 0.500]],
  "space_group": "No. 127"
}



Which is the most stable structure? model 2 is the most stable.



Model 1:
{
  "formula": "BaLa2Cd2",
  "functional": "PBE",
  "state": "optimized geometry",
  "lattice_angstrom": [[-2.920, 2.920, 5.642], [2.920, -2.920, 5.642], [2.920, 2.920, -5.642]],
  "species": ["Ba", "La", "La", "Cd", "Cd"],
  "fractional_positions": [[0.000, 0.000, 0.000], [0.364, 0.364, 0.000], [0.636, 0.636, 0.000], [0.250, 0.750, 0.500], [0.750, 0.250, 0.500]],
  "space_group": "No. 139"
}



Model 2:
{
  "formula": "BaLa2Cd2",
  "functional": "PBE",
  "state": "optimized geometry",
  "lattice_angstrom": [[9.439, 0.000, 0.000], [0.000, 9.439, 0.000], [0.000, 0.000, 3.948]],
  "species": ["Ba", "Ba", "La", "La", "La", "La", "Cd", "Cd", "Cd", "Cd"],
  "fractional_positions": [[0.000, 0.000, 0.000], [0.500, 0.500, 0.000], [0.165, 0.335, 0.500], [0.335, 0.835, 0.500], [0.665, 0.165, 0.500], [0.835, 0.665, 0.500], [0.125, 0.625, 0.000], [0.375, 0.125, 0.000], [0.625, 0.875, 0.000], [0.875, 0.375, 0.000]],
  "space_group": "No. 127"
}



Which is the most stable structure? model 2 is the most stable.



Model 1:
{
  "formula": "BaLa2Cd2",
  "functional": "PBE",
  "state": "optimized geometry",
  "lattice_angstrom": [[2.018, -10.930, 0.000], [2.018, 10.930, 0.000], [0.000, 0.000, 3.995]],
  "species": ["Ba", "La", "La", "Cd", "Cd"],
  "fractional_positions": [[0.000, 0.000, 0.000], [0.186, 0.814, 0.000], [0.814, 0.186, 0.000], [0.394, 0.606, 0.500], [0.606, 0.394, 0.500]],
  "space_group": "No. 65"
}



Model 2:
{
  "formula": "BaLa2Cd2",
  "functional": "PBE",
  "state": "optimized geometry",
  "lattice_angstrom": [[-2.491, 2.491, 7.488], [2.491, -2.491, 7.488], [2.491, 2.491, -7.488]],
  "species": ["Ba", "La", "La", "Cd", "Cd"],
  "fractional_positions": [[0.000, 0.000, 0.000], [0.250, 0.750, 0.500], [0.750, 0.250, 0.500], [0.402, 0.402, 0.000], [0.598, 0.598, 0.000]],
  "space_group": "No. 139"
}



Which is the most stable structure? model 1 is the most stable.



Model 1:
{
  "formula": "Ba3LaCd",
  "functional": "PBE",
  "state": "optimized geometry",
  "lattice_angstrom": [[6.489, 0.000, 0.000], [0.000, 6.489, 0.000], [0.000, 0.000, 6.489]],
  "species": ["Ba", "Ba", "Ba", "La", "Cd"],
  "fractional_positions": [[0.000, 0.000, 0.500], [0.000, 0.500, 0.000], [0.500, 0.000, 0.000], [0.000, 0.000, 0.000], [0.500, 0.500, 0.500]],
  "space_group": "No. 221"
}



Model 2:
{
  "formula": "Ba3LaCd",
  "functional": "PBE",
  "state": "optimized geometry",
  "lattice_angstrom": [[6.412, 0.000, 0.000], [0.000, 6.412, 0.000], [0.000, 0.000, 6.412]],
  "species": ["Ba", "Ba", "Ba", "La", "Cd"],
  "fractional_positions": [[0.000, 0.000, 0.500], [0.000, 0.500, 0.000], [0.500, 0.000, 0.000], [0.500, 0.500, 0.500], [0.000, 0.000, 0.000]],
  "space_group": "No. 221"
}



Which is the most stable structure? model 2 is the most stable.



Model 1:
{
  "formula": "Ba2LaCdN",
  "functional": "PBE",
  "state": "optimized geometry",
  "lattice_angstrom": [[5.889, 0.000, 0.000], [0.000, 5.889, 0.000], [0.000, 0.000, 4.835]],
  "species": ["Ba", "Ba", "La", "Cd", "N"],
  "fractional_positions": [[0.000, 0.500, 0.000], [0.500, 0.000, 0.000], [0.000, 0.000, 0.500], [0.500, 0.500, 0.500], [0.000, 0.000, 0.000]],
  "space_group": "No. 123"
}



Model 2:
{
  "formula": "Ba2LaCdN",
  "functional": "PBE",
  "state": "optimized geometry",
  "lattice_angstrom": [[6.686, 0.000, 0.000], [0.000, 6.686, 0.000], [0.000, 0.000, 5.741]],
  "species": ["Ba", "Ba", "La", "Cd", "N"],
  "fractional_positions": [[0.000, 0.500, 0.000], [0.500, 0.000, 0.000], [0.000, 0.000, 0.000], [0.000, 0.000, 0.500], [0.500, 0.500, 0.500]],
  "space_group": "No. 123"
}



Which is the most stable structure? model 1 is the most stable.



Model 1:
{
  "formula": "BaLa2CdOs",
  "functional": "PBE",
  "state": "optimized geometry",
  "lattice_angstrom": [[5.545, 0.000, 0.000], [0.000, 5.545, 0.000], [0.000, 0.000, 5.622]],
  "species": ["Ba", "La", "La", "Cd", "Os"],
  "fractional_positions": [[0.000, 0.000, 0.000], [0.000, 0.500, 0.500], [0.500, 0.000, 0.500], [0.500, 0.500, 0.000], [0.500, 0.500, 0.500]],
  "space_group": "No. 123"
}



Model 2:
{
  "formula": "BaLa2CdOs",
  "functional": "PBE",
  "state": "optimized geometry",
  "lattice_angstrom": [[5.529, 0.000, 0.000], [0.000, 5.529, 0.000], [0.000, 0.000, 6.284]],
  "species": ["Ba", "La", "La", "Cd", "Os"],
  "fractional_positions": [[0.000, 0.000, 0.000], [0.000, 0.500, 0.500], [0.500, 0.000, 0.500], [0.500, 0.500, 0.000], [0.000, 0.000, 0.500]],
  "space_group": "No. 123"
}



Which is the most stable structure? model 1 is the most stable.



Model 1:
{
  "formula": "BaLa2CdRh",
  "functional": "PBE",
  "state": "optimized geometry",
  "lattice_angstrom": [[5.544, 0.000, 0.000], [0.000, 5.544, 0.000], [0.000, 0.000, 5.597]],
  "species": ["Ba", "La", "La", "Cd", "Rh"],
  "fractional_positions": [[0.000, 0.000, 0.000], [0.000, 0.500, 0.500], [0.500, 0.000, 0.500], [0.500, 0.500, 0.000], [0.500, 0.500, 0.500]],
  "space_group": "No. 123"
}



Model 2:
{
  "formula": "BaLa2CdRh",
  "functional": "PBE",
  "state": "optimized geometry",
  "lattice_angstrom": [[5.510, 0.000, 0.000], [0.000, 5.510, 0.000], [0.000, 0.000, 6.184]],
  "species": ["Ba", "La", "La", "Cd", "Rh"],
  "fractional_positions": [[0.000, 0.000, 0.000], [0.000, 0.500, 0.500], [0.500, 0.000, 0.500], [0.500, 0.500, 0.000], [0.000, 0.000, 0.500]],
  "space_group": "No. 123"
}



Which is the most stable structure? model 1 is the most stable.



Model 1:
{
  "formula": "BaLa2CdRu",
  "functional": "PBE",
  "state": "optimized geometry",
  "lattice_angstrom": [[5.436, 0.000, 0.000], [0.000, 5.436, 0.000], [0.000, 0.000, 5.715]],
  "species": ["Ba", "La", "La", "Cd", "Ru"],
  "fractional_positions": [[0.000, 0.000, 0.000], [0.000, 0.500, 0.500], [0.500, 0.000, 0.500], [0.500, 0.500, 0.000], [0.500, 0.500, 0.500]],
  "space_group": "No. 123"
}



Model 2:
{
  "formula": "BaLa2CdRu",
  "functional": "PBE",
  "state": "optimized geometry",
  "lattice_angstrom": [[5.426, 0.000, 0.000], [0.000, 5.426, 0.000], [0.000, 0.000, 6.201]],
  "species": ["Ba", "La", "La", "Cd", "Ru"],
  "fractional_positions": [[0.000, 0.000, 0.000], [0.000, 0.500, 0.500], [0.500, 0.000, 0.500], [0.500, 0.500, 0.000], [0.000, 0.000, 0.500]],
  "space_group": "No. 123"
}



Which is the most stable structure? model 1 is the most stable.



Model 1:
{
  "formula": "BaLa2CdTc",
  "functional": "PBE",
  "state": "optimized geometry",
  "lattice_angstrom": [[5.944, 0.000, 0.000], [0.000, 5.944, 0.000], [0.000, 0.000, 6.250]],
  "species": ["Ba", "La", "La", "Cd", "Tc"],
  "fractional_positions": [[0.000, 0.000, 0.000], [0.000, 0.500, 0.500], [0.500, 0.000, 0.500], [0.000, 0.000, 0.500], [0.500, 0.500, 0.000]],
  "space_group": "No. 123"
}



Model 2:
{
  "formula": "BaLa2CdTc",
  "functional": "PBE",
  "state": "optimized geometry",
  "lattice_angstrom": [[5.413, 0.000, 0.000], [0.000, 5.413, 0.000], [0.000, 0.000, 5.761]],
  "species": ["Ba", "La", "La", "Cd", "Tc"],
  "fractional_positions": [[0.000, 0.000, 0.000], [0.000, 0.500, 0.500], [0.500, 0.000, 0.500], [0.500, 0.500, 0.000], [0.500, 0.500, 0.500]],
  "space_group": "No. 123"
}



Which is the most stable structure? model 2 is the most stable.



Model 1:
{
  "formula": "Ba4LiCd",
  "functional": "PBE",
  "state": "optimized geometry",
  "lattice_angstrom": [[4.359, 0.000, 0.000], [0.000, 4.359, 0.000], [0.000, 0.000, 15.256]],
  "species": ["Ba", "Ba", "Ba", "Ba", "Li", "Cd"],
  "fractional_positions": [[0.000, 0.000, 0.130], [0.000, 0.000, 0.870], [0.500, 0.500, 0.358], [0.500, 0.500, 0.642], [0.000, 0.000, 0.500], [0.500, 0.500, 0.000]],
  "space_group": "No. 123"
}



Model 2:
{
  "formula": "Ba4LiCd",
  "functional": "PBE",
  "state": "optimized geometry",
  "lattice_angstrom": [[6.052, 0.000, 0.000], [0.000, 6.052, 0.000], [0.000, 0.000, 8.593]],
  "species": ["Ba", "Ba", "Ba", "Ba", "Li", "Cd"],
  "fractional_positions": [[0.000, 0.500, 0.238], [0.000, 0.500, 0.762], [0.500, 0.000, 0.238], [0.500, 0.000, 0.762], [0.000, 0.000, 0.500], [0.500, 0.500, 0.000]],
  "space_group": "No. 123"
}



Which is the most stable structure? model 1 is the most stable.